Material: LaBe3S
Method: DFT, PBE
State: relaxed

Computed properties:
energy above the lowest structure with this stoichiometry = 1566.0 meV per atom
formation energy from raw total energies = 2.088 eV/atom

Lattice parameters (Å, degrees): 5.2050 5.2050 5.2050 90.00 90.00 90.00
With the nearest neighbours (Å) after each atom.
Fractional coordinates of all 5 atoms:
S  0.5000  0.5000  0.5000  12 Be 3.68
Be  0.0000  0.5000  0.0000  2 La 2.60
Be  0.5000  0.0000  0.0000  2 La 2.60
Be  0.0000  0.0000  0.5000  2 La 2.60
La  0.0000  0.0000  0.0000  6 Be 2.60


Material: Tm3HgO6
Method: DFT, PBE
State: relaxed

Computed properties:
formation energy from raw total energies = -2.701 eV/atom

Lattice parameters (Å, degrees): 5.6021 7.0872 7.0872 102.63 90.00 90.00
With the nearest neighbours (Å) after each atom.
Fractional coordinates of all 20 atoms:
O  0.7081  0.5663  0.1012  3 Tm 2.20-2.37, 1 Hg 2.32
O  0.1857  0.3596  0.3206  4 Tm 2.23-2.31
O  0.2714  0.0258  0.9742  2 Hg 2.23-2.33, 2 Tm 2.34
O  0.2081  0.1012  0.5663  3 Tm 2.20-2.37, 1 Hg 2.32
O  0.7714  0.9742  0.0258  2 Hg 2.23-2.33, 2 Tm 2.34
O  0.1143  0.7809  0.2191  1 Hg 2.12, 3 Tm 2.31
O  0.6857  0.3206  0.3596  4 Tm 2.23-2.31
O  0.1857  0.6794  0.6404  4 Tm 2.23-2.31
O  0.7081  0.8988  0.4337  3 Tm 2.20-2.37, 1 Hg 2.32
O  0.2081  0.4337  0.8988  3 Tm 2.20-2.37, 1 Hg 2.32
O  0.6857  0.6404  0.6794  4 Tm 2.23-2.31
O  0.6143  0.2191  0.7809  1 Hg 2.12, 3 Tm 2.31
Hg  0.4725  0.8418  0.1582  5 O 2.12-2.33
Hg  0.9725  0.1582  0.8418  5 O 2.12-2.33
Tm  0.4648  0.9094  0.6792  6 O 2.20-2.34
Tm  0.9648  0.0906  0.3208  6 O 2.20-2.34
Tm  0.4648  0.3208  0.0906  6 O 2.20-2.34
Tm  0.4101  0.4003  0.5997  7 O 2.28-2.37
Tm  0.9648  0.6792  0.9094  6 O 2.20-2.34
Tm  0.9101  0.5997  0.4003  7 O 2.28-2.37


Material: YHoCdCu
Method: DFT, PBE
State: relaxed

Computed properties:
E_form = -0.238 eV/atom
energy above the lowest structure with this stoichiometry = 46.1 meV per atom

Lattice parameters (Å, degrees): 5.1146 5.1146 5.1146 60.00 60.00 60.00
With the nearest neighbours (Å) after each atom.
Fractional coordinates of all 4 atoms:
Ho  0.5000  0.5000  0.5000  4 Cd 3.13, 4 Cu 3.13
Cu  0.2500  0.2500  0.2500  4 Ho 3.13, 4 Y 3.13
Cd  0.7500  0.7500  0.7500  4 Ho 3.13, 4 Y 3.13
Y  0.0000  0.0000  0.0000  4 Cd 3.13, 4 Cu 3.13


Material: TiCd3Pd4
Method: DFT, PBE
State: relaxed

Computed properties:
E_form = -0.449 eV/atom

Lattice parameters (Å, degrees): 3.2023 3.2023 13.4019 90.00 90.00 90.00
With the nearest neighbours (Å) after each atom.
Fractional coordinates of all 8 atoms:
Pd  0.0000  0.0000  0.3718  8 Cd 2.84
Pd  0.0000  0.0000  0.6282  8 Cd 2.84
Pd  0.0000  0.0000  0.8925  4 Ti 2.68, 1 Pd 2.88, 4 Cd 2.91
Pd  0.0000  0.0000  0.1075  4 Ti 2.68, 1 Pd 2.88, 4 Cd 2.91
Cd  0.5000  0.5000  0.5000  8 Pd 2.84
Cd  0.5000  0.5000  0.7560  8 Pd 2.84-2.91
Cd  0.5000  0.5000  0.2440  8 Pd 2.84-2.91
Ti  0.5000  0.5000  0.0000  8 Pd 2.68


Material: Ca2PrI
Method: DFT, PBE
State: relaxed

Computed properties:
energy above the lowest structure with this stoichiometry = 67.0 meV per atom
formation energy from raw total energies = -0.439 eV/atom

Lattice parameters (Å, degrees): 3.8133 3.8133 10.1970 90.00 90.00 90.00
With the nearest neighbours (Å) after each atom.
Fractional coordinates of all 4 atoms:
Ca  0.0000  0.0000  0.7322  4 I 3.59, 4 Ca 3.81, 4 Pr 3.84
Ca  0.0000  0.0000  0.2678  4 I 3.59, 4 Ca 3.81, 4 Pr 3.84
Pr  0.5000  0.5000  0.0000  4 Pr 3.81, 8 Ca 3.84
I  0.5000  0.5000  0.5000  8 Ca 3.59, 4 I 3.81


Material: Eu2ZnI
Method: DFT, PBE
State: relaxed

Computed properties:
energy above the lowest structure with this stoichiometry = 0.0 meV per atom
formation energy from raw total energies = -0.659 eV/atom

Lattice parameters (Å, degrees): 4.3475 4.3475 8.7460 75.61 75.61 60.00
With the nearest neighbours (Å) after each atom.
Fractional coordinates of all 4 atoms:
Eu  0.7399  0.7399  0.7804  3 Zn 3.11, 3 I 3.44
Eu  0.2601  0.2601  0.2196  3 Zn 3.11, 3 I 3.44
I  0.5000  0.5000  0.5000  6 Eu 3.44
Zn  0.0000  0.0000  0.0000  6 Eu 3.11


Material: EuErPd2
Method: DFT, PBE
State: relaxed

Computed properties:
E_form = -0.750 eV/atom
energy above the lowest structure with this stoichiometry = 69.6 meV per atom

Lattice parameters (Å, degrees): 5.0090 5.0090 5.0090 60.00 60.00 60.00
With the nearest neighbours (Å) after each atom.
Fractional coordinates of all 4 atoms:
Eu  0.0000  0.0000  0.0000  8 Pd 3.07
Pd  0.2500  0.2500  0.2500  4 Er 3.07, 4 Eu 3.07
Pd  0.7500  0.7500  0.7500  4 Eu 3.07, 4 Er 3.07
Er  0.5000  0.5000  0.5000  8 Pd 3.07


Material: LiPr2ZnAu2
Method: DFT, PBE
State: relaxed

Computed properties:
E_form = -0.558 eV/atom

Lattice parameters (Å, degrees): 6.0507 6.1740 8.6573 110.89 110.45 90.00
With the nearest neighbours (Å) after each atom.
Fractional coordinates of all 12 atoms:
Pr  0.0860  0.3343  0.6686  5 Au 3.11-3.25, 2 Zn 3.29, 2 Li 3.30
Pr  0.4174  0.1657  0.3314  5 Au 3.11-3.25, 2 Zn 3.29, 2 Li 3.30
Pr  0.9140  0.6657  0.3314  5 Au 3.11-3.25, 2 Zn 3.29, 2 Li 3.30
Pr  0.5826  0.8343  0.6686  5 Au 3.11-3.25, 2 Zn 3.29, 2 Li 3.30
Li  0.0000  0.2500  0.0000  4 Au 2.79, 2 Zn 3.03, 2 Li 3.09
Li  0.0000  0.7500  0.0000  4 Au 2.79, 2 Zn 3.03, 2 Li 3.09
Au  0.8694  0.1179  0.2358  2 Li 2.79, 2 Zn 2.80, 2 Pr 3.11
Au  0.6336  0.3821  0.7642  2 Li 2.79, 2 Zn 2.80, 2 Pr 3.11
Au  0.3664  0.6179  0.2358  2 Li 2.79, 2 Zn 2.80, 2 Pr 3.11
Au  0.1306  0.8821  0.7642  2 Li 2.79, 2 Zn 2.80, 2 Pr 3.11
Zn  0.5000  0.2500  0.0000  4 Au 2.80, 2 Li 3.03, 2 Zn 3.09
Zn  0.5000  0.7500  0.0000  4 Au 2.80, 2 Li 3.03, 2 Zn 3.09


Material: CePmCuP
Method: DFT, PBE
State: relaxed

Computed properties:
E_form = -0.554 eV/atom

Lattice parameters (Å, degrees): 4.9852 4.9852 4.9852 60.00 60.00 60.00
With the nearest neighbours (Å) after each atom.
Fractional coordinates of all 4 atoms:
Cu  0.0000  0.0000  0.0000  4 Pm 3.05, 4 Ce 3.05
P  0.5000  0.5000  0.5000  4 Ce 3.05, 4 Pm 3.05
Ce  0.2500  0.2500  0.2500  4 Cu 3.05, 4 P 3.05
Pm  0.7500  0.7500  0.7500  4 Cu 3.05, 4 P 3.05


Material: TiAgIr
Method: DFT, PBE
State: relaxed

Computed properties:
E_form = -0.266 eV/atom

Lattice parameters (Å, degrees): 4.1529 2.8376 8.4046 80.28 90.00 90.00
With the nearest neighbours (Å) after each atom.
Fractional coordinates of all 6 atoms:
Ti  0.7500  0.5480  0.9040  4 Ti 2.62-2.84, 6 Ir 2.66-2.83, 1 Ag 2.70
Ti  0.2500  0.4520  0.0960  4 Ti 2.62-2.84, 6 Ir 2.66-2.83, 1 Ag 2.70
Ir  0.7500  0.9003  0.1994  6 Ti 2.66-2.83, 2 Ir 2.84
Ir  0.2500  0.0997  0.8006  6 Ti 2.66-2.83, 2 Ir 2.84
Ag  0.7500  0.7110  0.5781  1 Ti 2.70, 6 Ag 2.83-2.84
Ag  0.2500  0.2890  0.4219  1 Ti 2.70, 6 Ag 2.83-2.84


Material: Cu3Pt
Method: DFT, PBE
State: relaxed

Computed properties:
E_form = -0.133 eV/atom

Lattice parameters (Å, degrees): 5.2699 5.2699 4.3081 90.00 90.00 120.00
With the nearest neighbours (Å) after each atom.
Fractional coordinates of all 8 atoms:
Cu  0.3285  0.1643  0.2500  8 Cu 2.60-2.67, 4 Pt 2.64-2.65
Cu  0.6715  0.8357  0.7500  8 Cu 2.60-2.67, 4 Pt 2.64-2.65
Cu  0.8357  0.6715  0.2500  8 Cu 2.60-2.67, 4 Pt 2.64-2.65
Cu  0.8357  0.1643  0.2500  8 Cu 2.60-2.67, 4 Pt 2.64-2.65
Cu  0.1643  0.8357  0.7500  8 Cu 2.60-2.67, 4 Pt 2.64-2.65
Cu  0.1643  0.3285  0.7500  8 Cu 2.60-2.67, 4 Pt 2.64-2.65
Pt  0.6667  0.3333  0.7500  12 Cu 2.64-2.65
Pt  0.3333  0.6667  0.2500  12 Cu 2.64-2.65


Material: LiPr3Ga2
Method: DFT, PBE
State: relaxed

Computed properties:
E_form = -0.353 eV/atom
energy above the lowest structure with this stoichiometry = 27.2 meV per atom

Lattice parameters (Å, degrees): 3.7249 3.7249 11.5937 90.00 90.00 90.00
With the nearest neighbours (Å) after each atom.
Fractional coordinates of all 6 atoms:
Pr  0.0000  0.0000  0.3162  4 Ga 3.15, 4 Li 3.39
Pr  0.0000  0.0000  0.6838  4 Ga 3.15, 4 Li 3.39
Pr  0.0000  0.0000  0.0000  8 Ga 3.27
Li  0.5000  0.5000  0.5000  8 Pr 3.39, 4 Li 3.72
Ga  0.5000  0.5000  0.1673  8 Pr 3.15-3.27
Ga  0.5000  0.5000  0.8327  8 Pr 3.15-3.27


Material: LaBe2Os
Method: DFT, PBE
State: relaxed

Computed properties:
E_form = -0.110 eV/atom
energy above the lowest structure with this stoichiometry = 28.9 meV per atom

Lattice parameters (Å, degrees): 5.6700 3.9388 5.6700 111.23 139.17 89.32
With the nearest neighbours (Å) after each atom.
Fractional coordinates of all 4 atoms:
Be  0.9960  0.9949  0.9990  3 Be 2.28-2.31, 3 Os 2.31-2.33
Be  0.3072  0.6801  0.3729  3 Be 2.28-2.31, 3 Os 2.38-2.40
La  0.5121  0.5311  0.0190  3 Be 2.89-3.20, 4 Os 3.00-3.21
Os  0.6847  0.2939  0.6092  6 Be 2.31-2.40


Material: CsReNO2
Method: DFT, PBE
State: relaxed

Computed properties:
formation energy from raw total energies = -0.759 eV/atom

Lattice parameters (Å, degrees): 4.1060 4.1060 3.9812 90.00 90.00 90.00
With the nearest neighbours (Å) after each atom.
Fractional coordinates of all 5 atoms:
Cs  0.5000  0.5000  0.5000  8 O 2.86, 4 N 2.90
Re  0.0000  0.0000  0.0000  2 N 1.99, 4 O 2.05
N  0.0000  0.0000  0.5000  2 Re 1.99
O  0.5000  0.0000  0.0000  2 Re 2.05
O  0.0000  0.5000  0.0000  2 Re 2.05


Material: IrPtCl4
Method: DFT, PBE
State: relaxed

Computed properties:
formation energy from raw total energies = 1.679 eV/atom

Lattice parameters (Å, degrees): 5.5114 5.5114 5.5114 60.00 60.00 60.00
With the nearest neighbours (Å) after each atom.
Fractional coordinates of all 6 atoms:
Cl  0.3751  0.3751  0.3751  6 Cl 2.75-2.76
Cl  0.3751  0.8747  0.3751  6 Cl 2.75-2.76
Cl  0.3751  0.3751  0.8747  6 Cl 2.75-2.76
Cl  0.8747  0.3751  0.3751  6 Cl 2.75-2.76
Pt  0.0000  0.0000  0.0000  12 Cl 3.23, 4 Ir 3.37
Ir  0.7500  0.7500  0.7500  12 Cl 3.23, 4 Pt 3.37


Material: TbHo2Al
Method: DFT, PBE
State: relaxed

Computed properties:
E_form = -0.032 eV/atom
energy above the lowest structure with this stoichiometry = 167.3 meV per atom

Lattice parameters (Å, degrees): 5.3354 5.3354 5.3354 60.00 60.00 60.00
With the nearest neighbours (Å) after each atom.
Fractional coordinates of all 4 atoms:
Tb  0.0000  0.0000  0.0000  8 Ho 3.27
Ho  0.2500  0.2500  0.2500  4 Tb 3.27, 4 Al 3.27
Ho  0.7500  0.7500  0.7500  4 Tb 3.27, 4 Al 3.27
Al  0.5000  0.5000  0.5000  8 Ho 3.27


Material: Ce3PaBi5
Method: DFT, PBE
State: relaxed

Computed properties:
E_form = -0.632 eV/atom

Lattice parameters (Å, degrees): 6.4625 9.8772 9.8772 120.00 90.00 90.00
With the nearest neighbours (Å) after each atom.
Fractional coordinates of all 18 atoms:
Pa  0.0000  0.0000  0.0000  6 Bi 3.19, 2 Pa 3.23
Pa  0.5000  0.0000  0.0000  6 Bi 3.19, 2 Pa 3.23
Ce  0.2500  0.6169  0.0000  9 Bi 3.34-3.47
Ce  0.2500  0.0000  0.6169  9 Bi 3.34-3.47
Ce  0.2500  0.3831  0.3831  9 Bi 3.34-3.47
Ce  0.7500  0.6169  0.6169  9 Bi 3.34-3.47
Ce  0.7500  0.0000  0.3831  9 Bi 3.34-3.47
Ce  0.7500  0.3831  0.0000  9 Bi 3.34-3.47
Bi  0.2500  0.0000  0.2787  2 Pa 3.19, 5 Ce 3.34-3.39
Bi  0.7500  0.0000  0.7213  2 Pa 3.19, 5 Ce 3.34-3.39
Bi  0.0000  0.3333  0.6667  2 Bi 3.23, 6 Ce 3.47
Bi  0.5000  0.6667  0.3333  2 Bi 3.23, 6 Ce 3.47
Bi  0.7500  0.2787  0.2787  2 Pa 3.19, 5 Ce 3.34-3.39
Bi  0.7500  0.7213  0.0000  2 Pa 3.19, 5 Ce 3.34-3.39
Bi  0.0000  0.6667  0.3333  2 Bi 3.23, 6 Ce 3.47
Bi  0.5000  0.3333  0.6667  2 Bi 3.23, 6 Ce 3.47
Bi  0.2500  0.2787  0.0000  2 Pa 3.19, 5 Ce 3.34-3.39
Bi  0.2500  0.7213  0.7213  2 Pa 3.19, 5 Ce 3.34-3.39


Material: AlTePbF2
Method: DFT, PBE
State: relaxed

Computed properties:
formation energy from raw total energies = -1.107 eV/atom

Lattice parameters (Å, degrees): 4.5526 6.7307 4.5526 90.00 90.00 90.00
With the nearest neighbours (Å) after each atom.
Fractional coordinates of all 5 atoms:
F  0.0000  0.0000  0.5000  2 Pb 2.28
F  0.5000  0.0000  0.0000  2 Pb 2.28
Pb  0.0000  0.0000  0.0000  4 F 2.28
Al  0.5000  0.5000  0.5000  4 Te 3.22
Te  0.0000  0.5000  0.0000  4 Al 3.22, 2 Pb 3.37


Material: KNa2Np3Te6
Method: DFT, PBE
State: relaxed

Computed properties:
formation energy from raw total energies = -0.813 eV/atom

Lattice parameters (Å, degrees): 4.5320 9.3631 10.4200 105.47 102.56 90.00
With the nearest neighbours (Å) after each atom.
Fractional coordinates of all 12 atoms:
Te  0.3370  0.4066  0.6740  3 Np 3.16-3.19, 3 Na 3.31-3.34
Te  0.3261  0.9299  0.6521  3 Np 3.11-3.16, 2 Na 3.38, 1 K 3.42
Te  0.6630  0.5934  0.3260  3 Np 3.16-3.19, 3 Na 3.31-3.34
Te  0.6739  0.0701  0.3479  3 Np 3.11-3.16, 2 Na 3.38, 1 K 3.42
Te  0.0047  0.7306  0.0095  3 Np 3.11-3.18, 1 Na 3.41, 2 K 3.41
Te  0.9953  0.2694  0.9905  3 Np 3.11-3.18, 1 Na 3.41, 2 K 3.41
Np  0.1671  0.8309  0.3342  6 Te 3.11-3.18
Np  0.8329  0.1691  0.6658  6 Te 3.11-3.18
Np  0.5000  0.5000  0.0000  6 Te 3.11-3.19
Na  0.8316  0.6657  0.6631  6 Te 3.31-3.41
Na  0.1684  0.3343  0.3369  6 Te 3.31-3.41
K  0.5000  0.0000  0.0000  6 Te 3.41-3.42


Material: ZnAg2Sb
Method: DFT, PBE
State: relaxed

Computed properties:
energy above the lowest structure with this stoichiometry = 77.8 meV per atom
formation energy from raw total energies = 0.149 eV/atom

Lattice parameters (Å, degrees): 9.0196 9.0196 9.0196 20.77 20.77 20.77
With the nearest neighbours (Å) after each atom.
Fractional coordinates of all 4 atoms:
Ag  0.0039  0.0039  0.0039  3 Zn 2.73, 3 Ag 2.90
Ag  0.2536  0.2536  0.2536  3 Ag 2.90, 3 Sb 3.03
Zn  0.7455  0.7455  0.7455  3 Ag 2.73, 3 Sb 2.93
Sb  0.4970  0.4970  0.4970  3 Zn 2.93, 3 Ag 3.03, 6 Sb 3.25


Number 1: final energy -9.79 eV per cell. Number 2: final energy -140.96 eV per cell. Number 3: final energy -17.01 eV per cell. Number 4: final energy -35.01 eV per cell. Number 5: final energy -12.09 eV per cell. Number 6: final energy -26.01 eV per cell. Number 7: final energy -28.22 eV per cell. Number 8: final energy -45.30 eV per cell. Number 9: final energy -22.41 eV per cell. Number 10: final energy -40.81 eV per cell. Number 11: final energy -37.72 eV per cell. Number 12: final energy -24.42 eV per cell. Number 13: final energy -24.05 eV per cell. Number 14: final energy -35.34 eV per cell. Number 15: final energy -12.21 eV per cell. Number 16: final energy -17.66 eV per cell. Number 17: final energy -104.78 eV per cell. Number 18: final energy -19.87 eV per cell. Number 19: final energy -71.16 eV per cell. Number 20: final energy -10.50 eV per cell.